Here is crystalline AcCd5Pt2 at its relaxed geometry from the Alexandria database. Energies are from PBE-GGA.

a b c (Å): 6.983 6.983 6.983
angles (deg): 144.18 104.76 86.24
Fractional coordinates of all 8 atoms:
Ac  0.000  0.000  0.000
Cd  0.161  0.345  0.816
Cd  0.472  0.655  0.816
Cd  0.500  0.000  0.500
Cd  0.528  0.345  0.184
Cd  0.839  0.655  0.184
Pt  0.224  0.724  0.500
Pt  0.776  0.276  0.500

Here is crystalline AcCd2Pt6 at its relaxed geometry from the Alexandria database. Energies are from PBE-GGA.

a b c (Å): 7.642 7.642 7.642
angles (deg): 147.65 122.76 67.30
Fractional coordinates of all 9 atoms:
Ac  0.000  0.000  0.000
Cd  0.370  0.870  0.500
Cd  0.630  0.130  0.500
Pt  0.049  0.302  0.747
Pt  0.312  0.500  0.812
Pt  0.445  0.698  0.747
Pt  0.555  0.302  0.253
Pt  0.688  0.500  0.188
Pt  0.951  0.698  0.253

Here is crystalline Ac2CdPt2 at its relaxed geometry from the Alexandria database. Energies are from PBE-GGA.

a b c (Å): 8.083 8.083 4.150
angles (deg): 90.00 90.00 90.00
Fractional coordinates of all 10 atoms:
Ac  0.172  0.328  0.000
Ac  0.328  0.828  0.000
Ac  0.672  0.172  0.000
Ac  0.828  0.672  0.000
Cd  0.000  0.000  0.500
Cd  0.500  0.500  0.500
Pt  0.130  0.630  0.500
Pt  0.370  0.130  0.500
Pt  0.630  0.870  0.500
Pt  0.870  0.370  0.500

Here is crystalline Ac2CdPt at its relaxed geometry from the Alexandria database. Energies are from PBE-GGA.

a b c (Å): 10.582 10.582 10.582
angles (deg): 24.25 24.25 24.25
Fractional coordinates of all 4 atoms:
Ac  0.115  0.115  0.115
Ac  0.885  0.885  0.885
Cd  0.000  0.000  0.000
Pt  0.500  0.500  0.500

Here is crystalline Ac2CdPt at its relaxed geometry from the Alexandria database. Energies are from PBE-GGA.

a b c (Å): 3.871 3.871 8.118
angles (deg): 90.00 90.00 90.00
Fractional coordinates of all 4 atoms:
Ac  0.000  0.000  0.221
Ac  0.000  0.000  0.779
Cd  0.500  0.500  0.500
Pt  0.500  0.500  0.000

Here is crystalline Ac4Cd5Pt2 at its relaxed geometry from the Alexandria database. Energies are from PBE-GGA.

a b c (Å): 7.979 4.114 10.081
angles (deg): 90.00 94.65 90.00
Fractional coordinates of all 11 atoms:
Ac  0.170  0.000  0.356
Ac  0.233  0.000  0.946
Ac  0.767  0.000  0.054
Ac  0.830  0.000  0.644
Cd  0.191  0.500  0.653
Cd  0.452  0.500  0.193
Cd  0.500  0.500  0.500
Cd  0.548  0.500  0.807
Cd  0.809  0.500  0.347
Pt  0.069  0.500  0.141
Pt  0.931  0.500  0.859

Here is crystalline Ac2CdPt at its relaxed geometry from the Alexandria database. Energies are from PBE-GGA.

a b c (Å): 8.613 8.613 8.613
angles (deg): 29.92 29.92 29.92
Fractional coordinates of all 4 atoms:
Ac  0.000  0.000  0.000
Ac  0.199  0.199  0.199
Cd  0.767  0.767  0.767
Pt  0.600  0.600  0.600

Here is crystalline Ac7Cd2Pt2 at its relaxed geometry from the Alexandria database. Energies are from PBE-GGA.

a b c (Å): 10.501 10.501 10.501
angles (deg): 157.41 68.76 116.04
Fractional coordinates of all 11 atoms:
Ac  0.000  0.000  0.000
Ac  0.290  0.419  0.871
Ac  0.307  0.619  0.687
Ac  0.548  0.419  0.129
Ac  0.631  0.273  0.358
Ac  0.915  0.273  0.642
Ac  0.932  0.619  0.313
Cd  0.252  0.752  0.500
Cd  0.660  0.660  0.000
Pt  0.158  0.922  0.237
Pt  0.685  0.922  0.763

Here is crystalline Ac6Cd5Pt at its relaxed geometry from the Alexandria database. Energies are from PBE-GGA.

a b c (Å): 9.812 9.812 5.661
angles (deg): 106.69 106.69 48.84
Fractional coordinates of all 12 atoms:
Ac  0.079  0.609  0.344
Ac  0.228  0.772  0.000
Ac  0.391  0.921  0.656
Ac  0.609  0.079  0.344
Ac  0.772  0.228  0.000
Ac  0.921  0.391  0.656
Cd  0.185  0.185  0.185
Cd  0.332  0.332  0.832
Cd  0.500  0.500  0.500
Cd  0.668  0.668  0.168
Cd  0.815  0.815  0.815
Pt  0.000  0.000  0.500

Here is crystalline Ac7CdPt5 at its relaxed geometry from the Alexandria database. Energies are from PBE-GGA.

a b c (Å): 7.691 7.691 26.446
angles (deg): 90.02 90.02 33.34
Fractional coordinates of all 26 atoms:
Ac  0.028  0.028  0.250
Ac  0.135  0.135  0.535
Ac  0.135  0.135  0.965
Ac  0.325  0.325  0.330
Ac  0.326  0.326  0.170
Ac  0.408  0.408  0.604
Ac  0.408  0.408  0.896
Ac  0.592  0.592  0.104
Ac  0.592  0.592  0.396
Ac  0.674  0.674  0.830
Ac  0.675  0.675  0.670
Ac  0.865  0.865  0.035
Ac  0.865  0.865  0.465
Ac  0.972  0.972  0.750
Cd  0.293  0.293  0.750
Cd  0.707  0.707  0.250
Pt  0.041  0.041  0.857
Pt  0.042  0.042  0.643
Pt  0.227  0.227  0.071
Pt  0.227  0.227  0.429
Pt  0.500  0.500  0.000
Pt  0.500  0.500  0.500
Pt  0.773  0.773  0.571
Pt  0.773  0.773  0.929
Pt  0.958  0.958  0.357
Pt  0.959  0.959  0.143

Here is crystalline Ac2Cd3Pt4 at its relaxed geometry from the Alexandria database. Energies are from PBE-GGA.

a b c (Å): 9.246 9.246 7.817
angles (deg): 90.00 90.00 142.55
Fractional coordinates of all 18 atoms:
Ac  0.107  0.893  0.916
Ac  0.393  0.607  0.416
Ac  0.607  0.393  0.584
Ac  0.893  0.107  0.084
Cd  0.000  0.000  0.500
Cd  0.017  0.483  0.750
Cd  0.483  0.017  0.250
Cd  0.500  0.500  0.000
Cd  0.517  0.983  0.750
Cd  0.983  0.517  0.250
Pt  0.165  0.835  0.526
Pt  0.179  0.321  0.750
Pt  0.321  0.179  0.250
Pt  0.335  0.665  0.026
Pt  0.665  0.335  0.974
Pt  0.679  0.821  0.750
Pt  0.821  0.679  0.250
Pt  0.835  0.165  0.474

Here is crystalline Ac4Cd2Pt at its relaxed geometry from the Alexandria database. Energies are from PBE-GGA.

a b c (Å): 9.194 9.194 9.194
angles (deg): 142.93 142.93 53.43
Fractional coordinates of all 7 atoms:
Ac  0.000  0.500  0.500
Ac  0.186  0.186  0.000
Ac  0.500  0.000  0.500
Ac  0.814  0.814  0.000
Cd  0.385  0.385  0.000
Cd  0.615  0.615  0.000
Pt  0.000  0.000  0.000

no.,total DFT energy (no corrections) (eV/cell),energy of formation from the pure elements (eV per atom),volume (Å³ per atom)
1,-24.57,-0.48,23.3
2,-44.53,-0.26,22.0
3,-52.06,-0.96,27.1
4,-17.00,-0.46,43.9
5,-17.83,-0.66,30.4
6,-39.45,-0.58,30.0
7,-17.91,-0.68,35.2
8,-48.31,-0.51,36.0
9,-40.32,-0.42,32.4
10,-144.92,-0.97,33.1
11,-82.97,-0.71,22.6
12,-26.61,-0.33,40.1